# 1
Computed, not measured: BaNiIr2 after structural relaxation at the GGA-PBE level of DFT.

Output
- energy of formation from the pure elements (eV per atom) = 0.3635
- N(E_F) (states/eV per cell) = 5.18
- spin magnetization (μB per cell) = 0.00

```
data_BaNiIr2
_chemical_formula_sum 'Ba1 Ni1 Ir2'
_cell_length_a 2.924
_cell_length_b 3.638
_cell_length_c 7.322
_cell_angle_alpha 90.00
_cell_angle_beta 90.00
_cell_angle_gamma 90.00
_space_group_name_H-M_alt 'P m m 2'
_space_group_IT_number 25
loop_
_space_group_symop_operation_xyz
'x,y,z'
'-x,-y,z'
'-x,y,z'
'x,-y,z'
loop_
_atom_site_label
_atom_site_type_symbol
_atom_site_fract_x
_atom_site_fract_y
_atom_site_fract_z
Ba1 Ba 0.000 0.000 0.000
Ni1 Ni 0.500 0.500 0.682
Ir1 Ir 0.000 0.000 0.506
Ir2 Ir 0.500 0.500 0.340
```

# 2
Computed, not measured: Ti6Ga5Tc after structural relaxation at the GGA-PBE level of DFT.

Output
- energy of formation from the pure elements (eV per atom) = -0.4646
- N(E_F) (states/eV per cell) = 19.76
- spin magnetization (μB per cell) = 0.00

```
data_Ti6Ga5Tc
_chemical_formula_sum 'Ti12 Ga10 Tc2'
_cell_length_a 3.978
_cell_length_b 7.726
_cell_length_c 12.209
_cell_angle_alpha 90.00
_cell_angle_beta 90.00
_cell_angle_gamma 90.00
_space_group_name_H-M_alt 'I m m m'
_space_group_IT_number 71
_space_group_name_Hall '-I 2 2'
loop_
_atom_site_label
_atom_site_type_symbol
_atom_site_fract_x
_atom_site_fract_y
_atom_site_fract_z
Ti1 Ti 0.000 0.231 0.000
Ti2 Ti 0.000 0.257 0.333
Ga1 Ga 0.000 0.000 0.168
Ga2 Ga 0.000 0.000 0.500
Ga3 Ga 0.000 0.500 0.160
Tc1 Tc 0.000 0.500 0.500
```

# 3
Computed, not measured: MnAl2Pd3 after structural relaxation at the GGA-PBE level of DFT.

Output
- energy of formation from the pure elements (eV per atom) = -0.6628
- N(E_F) (states/eV per cell) = 2.64
- spin magnetization (μB per cell) = 4.28

```
data_MnAl2Pd3
_chemical_formula_sum 'Mn1 Al2 Pd3'
_cell_length_a 3.082
_cell_length_b 3.082
_cell_length_c 9.308
_cell_angle_alpha 90.00
_cell_angle_beta 90.00
_cell_angle_gamma 90.00
_space_group_name_H-M_alt 'P 4/m m m'
_space_group_IT_number 123
_space_group_name_Hall '-P 4 2'
loop_
_atom_site_label
_atom_site_type_symbol
_atom_site_fract_x
_atom_site_fract_y
_atom_site_fract_z
Mn1 Mn 0.000 0.000 0.000
Al1 Al 0.000 0.000 0.333
Pd1 Pd 0.500 0.500 0.177
Pd2 Pd 0.500 0.500 0.500
```

# 4
Computed, not measured: ThPPd6 after structural relaxation at the GGA-PBE level of DFT.

Output
- energy of formation from the pure elements (eV per atom) = -0.4928
- N(E_F) (states/eV per cell) = 6.03
- spin magnetization (μB per cell) = 0.00

```
data_ThPPd6
_chemical_formula_sum 'Th3 P3 Pd18'
_cell_length_a 5.5932
_cell_length_b 5.5932
_cell_length_c 17.3203
_cell_angle_alpha 90.00
_cell_angle_beta 90.00
_cell_angle_gamma 120.00
_space_group_name_H-M_alt 'R -3 m'
_space_group_IT_number 166
_space_group_name_Hall '-R 3 2"'
loop_
_atom_site_label
_atom_site_type_symbol
_atom_site_fract_x
_atom_site_fract_y
_atom_site_fract_z
Th1 Th 0.0000 0.0000 0.0000
P1 P 0.0000 0.0000 0.5000
Pd1 Pd 0.0097 0.5048 0.9217
```

# 5
Computed, not measured: NaHgP3 after structural relaxation at the GGA-PBE level of DFT.

Output
- offset from the most stable computed form (kJ per mole of atoms) = 0.0
- energy of formation from the pure elements (eV per atom) = 0.9971
- N(E_F) (states/eV per cell) = 5.09
- spin magnetization (μB per cell) = 0.00

```
data_NaHgP3
_chemical_formula_sum 'Na1 Hg1 P3'
_cell_length_a 5.098
_cell_length_b 5.098
_cell_length_c 5.098
_cell_angle_alpha 90.00
_cell_angle_beta 90.00
_cell_angle_gamma 90.00
_space_group_name_H-M_alt 'P m -3 m'
_space_group_IT_number 221
_space_group_name_Hall '-P 4 2 3'
loop_
_atom_site_label
_atom_site_type_symbol
_atom_site_fract_x
_atom_site_fract_y
_atom_site_fract_z
Na1 Na 0.000 0.000 0.000
Hg1 Hg 0.500 0.500 0.500
P1 P 0.000 0.500 0.500
```

# 6
Computed, not measured: Nd12SmY7 after structural relaxation at the GGA-PBE level of DFT.

Output
- offset from the most stable computed form (kJ per mole of atoms) = 0.0
- energy of formation from the pure elements (eV per atom) = 0.0967
- N(E_F) (states/eV per cell) = 115.20
- spin magnetization (μB per cell) = 0.05

```
data_Nd12SmY7
_chemical_formula_sum 'Nd36 Sm3 Y21'
_cell_length_a 13.5278
_cell_length_b 13.5278
_cell_length_c 12.9929
_cell_angle_alpha 90.00
_cell_angle_beta 90.00
_cell_angle_gamma 120.00
_space_group_name_H-M_alt 'R -3 m'
_space_group_IT_number 166
_space_group_name_Hall '-R 3 2"'
loop_
_atom_site_label
_atom_site_type_symbol
_atom_site_fract_x
_atom_site_fract_y
_atom_site_fract_z
Nd1 Nd 0.0000 0.2616 0.0000
Nd2 Nd 0.0890 0.1779 0.7674
Sm1 Sm 0.0000 0.0000 0.5000
Y1 Y 0.0000 0.0000 0.0000
Y2 Y 0.0435 0.5218 0.1180
```